[1]
Below is an optimized crystal structure of NaInGaCu, with properties calculated at the GGA-PBE level.

The space group is F-43m (No. 216) and the conventional cell measures 6.800, 6.800 and 6.800 Å, with angles of 90.00, 90.00 and 90.00 degrees. The distinct sites, in fractional coordinates, are Na at (0.000, 0.000, 0.000), In at (0.000, 0.000, 0.500), Ga at (0.250, 0.250, 0.250) and Cu at (0.250, 0.250, 0.750).

The value obtained for the spin magnetization is 0.00 μB per atom. The uncorrected energy comes out at -2.71 eV per atom. Its energy of formation from the pure elements is 0.0828 eV per atom. The value obtained for the calculated volume is 314.4 Å³/cell.

[2]
Below is an optimized crystal structure of LaY4Er3, with properties calculated at the GGA-PBE level.

The space group is Immm (No. 71) and the conventional cell measures 3.433, 11.688 and 12.925 Å, with angles of 90.00, 90.00 and 90.00 degrees. The distinct sites, in fractional coordinates, are La at (0.000, 0.000, 0.000), Y at (0.000, 0.252, 0.134), Er at (0.000, 0.000, 0.500) and Er at (0.000, 0.500, 0.257).

The value obtained for the spin magnetization is 0.00 μB per atom. The uncorrected energy comes out at -5.41 eV per atom. The value obtained for the polymorph energy (0 for the lowest one) is 134 meV/atom. Its energy of formation from the pure elements is 0.1441 eV per atom. The value obtained for the calculated volume is 518.7 Å³/cell.

[3]
Below is an optimized crystal structure of CeNdSmPb, with properties calculated at the GGA-PBE level.

The space group is F-43m (No. 216) and the conventional cell measures 7.845, 7.845 and 7.845 Å, with angles of 90.00, 90.00 and 90.00 degrees. The distinct sites, in fractional coordinates, are Ce at (0.000, 0.000, 0.000), Nd at (0.250, 0.250, 0.250), Sm at (0.250, 0.250, 0.750) and Pb at (0.000, 0.000, 0.500).

The value obtained for the spin magnetization is 0.14 μB per atom. The uncorrected energy comes out at -4.87 eV per atom. Its energy of formation from the pure elements is -0.0917 eV per atom. The value obtained for the calculated volume is 482.8 Å³/cell.

spin magnetization of number 1 (NaInGaCu)? 0.00 μB per atom

Among the records above, which one has the lowest calculated volume? NaInGaCu

Look up the uncorrected energy of the third one. -4.87 eV per atom

Among the records above, which one has the highest calculated volume? LaY4Er3